Arrangement 1

This record from Alexandria describes crystalline Dy3HoSc at its relaxed geometry. The functional is GGA-PBE.

Geometry as CIF:
```
data_Dy3HoSc
_chemical_formula_sum 'Dy6 Ho2 Sc2'
_cell_length_a 6.147
_cell_length_b 6.580
_cell_length_c 9.005
_cell_angle_alpha 107.67
_cell_angle_beta 90.08
_cell_angle_gamma 117.75
_space_group_name_H-M_alt 'P 1'
_space_group_IT_number 1
loop_
_space_group_symop_operation_xyz
'x,y,z'
loop_
_atom_site_label
_atom_site_type_symbol
_atom_site_fract_x
_atom_site_fract_y
_atom_site_fract_z
Dy1 Dy 0.032 0.397 0.154
Dy2 Dy 0.171 0.000 0.256
Dy3 Dy 0.361 0.391 0.645
Dy4 Dy 0.639 0.609 0.355
Dy5 Dy 0.829 0.000 0.744
Dy6 Dy 0.968 0.603 0.846
Ho1 Ho 0.435 0.200 0.949
Ho2 Ho 0.565 0.800 0.051
Sc1 Sc 0.235 0.796 0.548
Sc2 Sc 0.765 0.204 0.452
```



Arrangement 2

This record from Alexandria describes crystalline Dy3HoSc at its relaxed geometry. The functional is GGA-PBE.

Geometry as CIF:
```
data_Dy3HoSc
_chemical_formula_sum 'Dy12 Ho4 Sc4'
_cell_length_a 3.476
_cell_length_b 17.104
_cell_length_c 10.474
_cell_angle_alpha 90.00
_cell_angle_beta 90.00
_cell_angle_gamma 90.00
_space_group_name_H-M_alt 'P 1'
_space_group_IT_number 1
loop_
_space_group_symop_operation_xyz
'x,y,z'
loop_
_atom_site_label
_atom_site_type_symbol
_atom_site_fract_x
_atom_site_fract_y
_atom_site_fract_z
Dy1 Dy 0.247 0.250 0.000
Dy2 Dy 0.247 0.250 0.500
Dy3 Dy 0.252 0.577 0.059
Dy4 Dy 0.252 0.577 0.441
Dy5 Dy 0.252 0.923 0.559
Dy6 Dy 0.252 0.923 0.941
Dy7 Dy 0.748 0.077 0.059
Dy8 Dy 0.748 0.077 0.441
Dy9 Dy 0.748 0.423 0.559
Dy10 Dy 0.748 0.423 0.941
Dy11 Dy 0.753 0.750 0.000
Dy12 Dy 0.753 0.750 0.500
Ho1 Ho 0.246 0.103 0.750
Ho2 Ho 0.246 0.397 0.250
Ho3 Ho 0.754 0.603 0.750
Ho4 Ho 0.754 0.897 0.250
Sc1 Sc 0.254 0.727 0.250
Sc2 Sc 0.254 0.773 0.750
Sc3 Sc 0.746 0.227 0.250
Sc4 Sc 0.746 0.273 0.750
```



Which of them is the most stable, and which is the least stable? arrangement 1 and arrangement 2, in that order.



Arrangement 1

This record from Alexandria describes crystalline Dy3Ho7Sc at its relaxed geometry. The functional is GGA-PBE.

Geometry as CIF:
```
data_Dy3Ho7Sc
_chemical_formula_sum 'Dy3 Ho7 Sc1'
_cell_length_a 6.953
_cell_length_b 6.953
_cell_length_c 8.486
_cell_angle_alpha 90.00
_cell_angle_beta 90.00
_cell_angle_gamma 120.00
_space_group_name_H-M_alt 'P 1'
_space_group_IT_number 1
loop_
_space_group_symop_operation_xyz
'x,y,z'
loop_
_atom_site_label
_atom_site_type_symbol
_atom_site_fract_x
_atom_site_fract_y
_atom_site_fract_z
Dy1 Dy 0.002 0.501 0.000
Dy2 Dy 0.499 0.501 0.000
Dy3 Dy 0.499 0.998 0.000
Ho1 Ho 0.168 0.337 0.660
Ho2 Ho 0.168 0.832 0.660
Ho3 Ho 0.336 0.168 0.332
Ho4 Ho 0.663 0.832 0.660
Ho5 Ho 0.667 0.333 0.661
Ho6 Ho 0.832 0.168 0.332
Ho7 Ho 0.832 0.664 0.332
Sc1 Sc 0.333 0.667 0.335
```



Arrangement 2

This record from Alexandria describes crystalline Dy3Ho7Sc at its relaxed geometry. The functional is GGA-PBE.

Geometry as CIF:
```
data_Dy3Ho7Sc
_chemical_formula_sum 'Dy3 Ho7 Sc1'
_cell_length_a 6.732
_cell_length_b 5.408
_cell_length_c 9.785
_cell_angle_alpha 90.00
_cell_angle_beta 104.36
_cell_angle_gamma 90.00
_space_group_name_H-M_alt 'P 1'
_space_group_IT_number 1
loop_
_space_group_symop_operation_xyz
'x,y,z'
loop_
_atom_site_label
_atom_site_type_symbol
_atom_site_fract_x
_atom_site_fract_y
_atom_site_fract_z
Dy1 Dy 0.000 0.000 0.000
Dy2 Dy 0.269 0.500 0.479
Dy3 Dy 0.731 0.500 0.521
Ho1 Ho 0.000 0.000 0.500
Ho2 Ho 0.164 0.500 0.785
Ho3 Ho 0.315 0.500 0.124
Ho4 Ho 0.461 0.000 0.327
Ho5 Ho 0.539 0.000 0.673
Ho6 Ho 0.685 0.500 0.876
Ho7 Ho 0.836 0.500 0.215
Sc1 Sc 0.500 0.000 0.000
```



Which of them is the most stable, and which is the least stable? arrangement 2 and arrangement 1, in that order.



Arrangement 1

This record from Alexandria describes crystalline Dy2Ho4Sc at its relaxed geometry. The functional is GGA-PBE.

Geometry as CIF:
```
data_Dy2Ho4Sc
_chemical_formula_sum 'Dy8 Ho16 Sc4'
_cell_length_a 5.470
_cell_length_b 12.078
_cell_length_c 13.111
_cell_angle_alpha 90.00
_cell_angle_beta 90.00
_cell_angle_gamma 90.00
_space_group_name_H-M_alt 'P 1'
_space_group_IT_number 1
loop_
_space_group_symop_operation_xyz
'x,y,z'
loop_
_atom_site_label
_atom_site_type_symbol
_atom_site_fract_x
_atom_site_fract_y
_atom_site_fract_z
Dy1 Dy 0.001 0.069 0.155
Dy2 Dy 0.001 0.431 0.655
Dy3 Dy 0.499 0.569 0.155
Dy4 Dy 0.499 0.931 0.655
Dy5 Dy 0.501 0.069 0.345
Dy6 Dy 0.501 0.431 0.845
Dy7 Dy 0.999 0.569 0.345
Dy8 Dy 0.999 0.931 0.845
Ho1 Ho 0.003 0.145 0.680
Ho2 Ho 0.003 0.245 0.925
Ho3 Ho 0.003 0.255 0.425
Ho4 Ho 0.003 0.355 0.180
Ho5 Ho 0.497 0.645 0.680
Ho6 Ho 0.497 0.745 0.925
Ho7 Ho 0.497 0.755 0.425
Ho8 Ho 0.497 0.855 0.180
Ho9 Ho 0.503 0.145 0.820
Ho10 Ho 0.503 0.245 0.575
Ho11 Ho 0.503 0.255 0.075
Ho12 Ho 0.503 0.355 0.320
Ho13 Ho 0.997 0.645 0.820
Ho14 Ho 0.997 0.745 0.575
Ho15 Ho 0.997 0.755 0.075
Ho16 Ho 0.997 0.855 0.320
Sc1 Sc 0.000 0.000 0.500
Sc2 Sc 0.000 0.500 0.000
Sc3 Sc 0.500 0.000 0.000
Sc4 Sc 0.500 0.500 0.500
```



Arrangement 2

This record from Alexandria describes crystalline Dy2Ho4Sc at its relaxed geometry. The functional is GGA-PBE.

Geometry as CIF:
```
data_Dy2Ho4Sc
_chemical_formula_sum 'Dy4 Ho8 Sc2'
_cell_length_a 6.015
_cell_length_b 6.471
_cell_length_c 11.327
_cell_angle_alpha 90.00
_cell_angle_beta 105.02
_cell_angle_gamma 90.00
_space_group_name_H-M_alt 'P 1'
_space_group_IT_number 1
loop_
_space_group_symop_operation_xyz
'x,y,z'
loop_
_atom_site_label
_atom_site_type_symbol
_atom_site_fract_x
_atom_site_fract_y
_atom_site_fract_z
Dy1 Dy 0.110 0.250 0.001
Dy2 Dy 0.218 0.250 0.575
Dy3 Dy 0.782 0.750 0.425
Dy4 Dy 0.890 0.750 0.999
Ho1 Ho 0.145 0.004 0.287
Ho2 Ho 0.145 0.496 0.287
Ho3 Ho 0.351 0.750 0.561
Ho4 Ho 0.470 0.750 0.134
Ho5 Ho 0.530 0.250 0.866
Ho6 Ho 0.649 0.250 0.439
Ho7 Ho 0.855 0.504 0.713
Ho8 Ho 0.855 0.996 0.713
Sc1 Sc 0.345 0.750 0.839
Sc2 Sc 0.655 0.250 0.161
```



Which of them is the most stable, and which is the least stable? arrangement 2 and arrangement 1, in that order.